# 1
VASP calculation (PBE-GGA) on crystalline Ba2SbAs at its relaxed geometry.

Geometry as POSCAR:
```
Ba2SbAs
1.0
6.023 -0.002 0.000
0.921 5.953 0.000
-3.472 -2.975 3.921
Sb As Ba
1 1 2
Direct
0.250 0.750 0.500
0.750 0.250 0.500
0.000 0.000 0.000
0.500 0.500 0.000
```

Calculated values
As for the calculated volume: 35.1 A^3/atom. Its total magnetization is 0.00 μB/atom. As for the space group: I4/mmm, No. 139. Its formation energy from raw total energies is -0.81 eV per atom.

# 2
VASP calculation (PBE-GGA) on crystalline CsLiB6O10 at its relaxed geometry.

Geometry as POSCAR:
```
CsLiB6O10
1.0
8.764 -0.164 0.000
-3.915 7.843 0.000
-2.424 -3.839 7.498
Cs Li B O
2 2 12 20
Direct
0.250 0.750 0.500
0.000 0.000 0.000
0.750 0.250 0.500
0.500 0.500 0.000
0.648 0.875 0.273
0.602 0.375 0.727
0.625 0.352 0.227
0.125 0.398 0.773
0.920 0.040 0.582
0.792 0.710 0.381
0.458 0.339 0.418
0.330 0.411 0.619
0.661 0.080 0.119
0.290 0.670 0.082
0.960 0.542 0.881
0.589 0.208 0.918
0.923 0.875 0.548
0.327 0.375 0.452
0.625 0.077 0.952
0.125 0.673 0.048
0.056 0.198 0.743
0.795 0.552 0.358
0.455 0.313 0.257
0.194 0.437 0.642
0.687 0.944 0.142
0.448 0.806 0.243
0.802 0.545 0.858
0.563 0.205 0.757
0.781 0.034 0.458
0.673 0.716 0.247
0.577 0.323 0.542
0.469 0.427 0.753
0.677 0.219 0.253
0.284 0.531 0.958
0.966 0.423 0.747
0.573 0.327 0.042
```

Calculated values
As for the calculated volume: 14.2 A^3/atom. Its total magnetization is 0.00 μB/atom. As for the space group: I-42d, No. 122. Its formation energy from raw total energies is -2.46 eV per atom.

# 3
VASP calculation (PBE-GGA) on crystalline Sm4Si2Br3 at its relaxed geometry.

Geometry as POSCAR:
```
Sm4Si2Br3
1.0
-3.006 -2.061 2.117
1.891 -1.830 -3.293
12.428 -7.015 10.820
Sm Si Br
4 2 3
Direct
0.663 0.326 0.116
0.008 0.016 0.707
0.992 0.984 0.293
0.337 0.674 0.884
0.328 0.655 0.201
0.672 0.345 0.799
0.344 0.688 0.607
0.000 0.000 0.000
0.656 0.312 0.393
```

Calculated values
As for the calculated volume: 30.6 A^3/atom. Its total magnetization is 0.00 μB/atom. As for the space group: C2/m, No. 12. Its formation energy from raw total energies is -1.25 eV per atom.

# 4
VASP calculation (PBE-GGA) on crystalline Ba2PmCu3H12 at its relaxed geometry.

Geometry as POSCAR:
```
Ba2PmCu3H12
1.0
-5.640 -1.889 -2.312
-2.046 -5.708 1.987
-4.863 0.075 4.131
Ba Pm Cu H
2 1 3 12
Direct
0.610 0.610 0.610
0.390 0.390 0.390
0.000 0.000 0.000
0.500 0.000 0.000
0.000 0.500 0.000
0.000 0.000 0.500
0.263 0.263 0.901
0.875 0.875 0.420
0.420 0.875 0.875
0.901 0.263 0.263
0.875 0.420 0.875
0.263 0.901 0.263
0.737 0.737 0.099
0.125 0.125 0.580
0.580 0.125 0.125
0.099 0.737 0.737
0.125 0.580 0.125
0.737 0.099 0.737
```

Calculated values
The uncorrected energy comes out at -3.580 eV/atom. As for the calculated volume: 11.1 A^3/atom. Its total magnetization is 0.00 μB/atom. As for the space group: R-3m, No. 166.

# 5
VASP calculation (PBE-GGA) on crystalline Tm8RuRh2 at its relaxed geometry.

Geometry as POSCAR:
```
Tm8RuRh2
1.0
5.684 0.034 -0.970
-1.926 6.629 -2.904
-0.112 -0.224 7.485
Tm Ru Rh
8 1 2
Direct
0.580 0.337 0.084
0.580 0.084 0.337
0.171 0.361 0.361
0.989 0.211 0.787
0.989 0.787 0.211
0.812 0.645 0.645
0.388 0.923 0.670
0.388 0.670 0.923
0.114 0.002 0.002
0.494 0.698 0.316
0.494 0.316 0.698
```

Calculated values
As for the calculated volume: 25.2 A^3/atom. Its total magnetization is 0.00 μB/atom. As for the space group: Cm, No. 8. The value obtained for the energy of formation from the pure elements is -0.417 eV per atom.

# 6
VASP calculation (PBE-GGA) on crystalline PmLu2V at its relaxed geometry.

Geometry as POSCAR:
```
PmLu2V
1.0
3.536 0.000 0.000
0.000 3.536 0.000
0.000 0.000 8.625
Lu Pm V
2 1 1
Direct
0.000 0.000 0.805
0.000 0.000 0.195
0.500 0.500 0.500
0.500 0.500 0.000
```

Calculated values
As for the calculated volume: 27.0 A^3/atom. Its total magnetization is 0.82 μB/atom. As for the space group: P4/mmm, No. 123. The value obtained for the energy of formation from the pure elements is 0.178 eV per atom.

# 7
VASP calculation (PBE-GGA) on crystalline Pa2TlS6 at its relaxed geometry.

Geometry as POSCAR:
```
Pa2TlS6
1.0
-1.691 -1.620 3.194
6.210 -4.106 1.206
-0.664 6.836 3.115
Pa Tl S
2 1 6
Direct
0.259 0.333 0.667
0.741 0.667 0.333
0.500 0.000 0.000
0.242 0.687 0.087
0.242 0.400 0.313
0.242 0.913 0.600
0.758 0.313 0.913
0.758 0.600 0.687
0.758 0.087 0.400
```

Calculated values
As for the calculated volume: 21.7 A^3/atom. Its total magnetization is 0.00 μB/atom. As for the space group: P-3, No. 147. Its formation energy from raw total energies is -1.22 eV per atom.

# 8
VASP calculation (PBE-GGA) on crystalline Tb3Sm3Ho4 at its relaxed geometry.

Geometry as POSCAR:
```
Tb3Sm3Ho4
1.0
-0.067 -3.645 0.495
9.362 -0.024 1.094
-1.098 1.281 9.273
Tb Sm Ho
3 3 4
Direct
0.000 0.498 0.999
0.000 0.001 0.502
0.500 0.174 0.826
0.500 0.827 0.173
0.500 0.326 0.326
0.500 0.674 0.674
0.000 0.625 0.375
0.000 0.375 0.625
0.000 0.877 0.874
0.000 0.126 0.123
```

Calculated values
As for the calculated volume: 32.7 A^3/atom. Its total magnetization is 0.00 μB/atom. As for the space group: Amm2, No. 38. The value obtained for the energy of formation from the pure elements is 0.094 eV per atom.

# 9
VASP calculation (PBE-GGA) on crystalline NaAg2Sn3 at its relaxed geometry.

Geometry as POSCAR:
```
NaAg2Sn3
1.0
4.438 0.000 -1.293
-0.818 8.075 -2.808
0.045 -0.198 8.415
Na Ag Sn
2 4 6
Direct
0.112 0.176 0.225
0.888 0.824 0.775
0.533 0.865 0.066
0.467 0.135 0.934
0.229 0.583 0.458
0.771 0.417 0.542
0.717 0.061 0.433
0.075 0.695 0.150
0.397 0.536 0.794
0.603 0.464 0.206
0.925 0.305 0.850
0.283 0.939 0.567
```

Calculated values
As for the calculated volume: 24.9 A^3/atom. Its total magnetization is 0.00 μB/atom. As for the space group: C2/m, No. 12. The value obtained for the energy of formation from the pure elements is -0.038 eV per atom.

# 10
VASP calculation (PBE-GGA) on crystalline AlCuSe2 at its relaxed geometry.

Geometry as POSCAR:
```
AlCuSe2
1.0
-5.551 1.837 4.843
-3.910 -1.203 6.396
-2.370 2.226 6.861
Cu Se Al
1 2 1
Direct
0.000 0.000 0.000
0.896 0.896 0.896
0.104 0.104 0.104
0.500 0.500 0.500
```

Calculated values
As for the calculated volume: 22.6 A^3/atom. Its total magnetization is 0.00 μB/atom. As for the space group: R-3m, No. 166. Its formation energy from raw total energies is -0.49 eV per atom.

# 11
VASP calculation (PBE-GGA) on crystalline FeMoC2 at its relaxed geometry.

Geometry as POSCAR:
```
FeMoC2
1.0
-2.059 2.349 -3.180
-3.803 -2.156 0.870
-4.029 3.266 1.898
C Mo Fe
4 2 2
Direct
0.592 0.125 0.250
0.158 0.625 0.250
0.375 0.408 0.750
0.875 0.842 0.750
0.000 0.000 0.000
0.750 0.250 0.500
0.500 0.500 0.000
0.250 0.750 0.500
```

Calculated values
As for the calculated volume: 11.3 A^3/atom. Its total magnetization is 0.00 μB/atom. As for the space group: I-42d, No. 122. The value obtained for the energy of formation from the pure elements is 0.545 eV per atom.

# 12
VASP calculation (PBE-GGA) on crystalline Sr2Mg6CdIn at its relaxed geometry.

Geometry as POSCAR:
```
Sr2Mg6CdIn
1.0
8.212 0.000 0.000
0.000 7.332 0.000
0.000 0.000 10.127
Sr Mg Cd In
4 12 2 2
Direct
0.500 0.728 0.262
0.000 0.272 0.762
0.500 0.728 0.738
0.000 0.272 0.238
0.500 0.227 0.250
0.500 0.227 0.750
0.000 0.773 0.250
0.000 0.773 0.750
0.177 0.954 0.500
0.823 0.954 0.500
0.313 0.397 0.500
0.687 0.397 0.500
0.813 0.603 0.000
0.187 0.603 0.000
0.323 0.046 0.000
0.677 0.046 0.000
0.500 0.050 0.500
0.000 0.950 0.000
0.000 0.576 0.500
0.500 0.424 0.000
```

Calculated values
As for the calculated volume: 30.5 A^3/atom. Its total magnetization is 0.00 μB/atom. As for the space group: Pmmn, No. 59. The value obtained for the energy of formation from the pure elements is -0.026 eV per atom.